# 1
Cs2K4Fe2O5 | meta-GGA SCAN | PBEsol geometry

Cell lengths 6.5751, 6.5751, 6.9069 Å; angles 90.60, 90.60, 115.68 degrees
Sites, in units of the cell vectors:
O 0.1437 0.4361 0.2705
O 0.5639 0.8563 0.7295
O 0.0000 0.0000 0.0000
O 0.4361 0.1437 0.2705
O 0.8563 0.5639 0.7295
Cs 0.6692 0.6692 0.3013
Cs 0.3308 0.3308 0.6987
K 0.7606 0.2394 0.0000
K 0.2162 0.7838 0.5000
K 0.7838 0.2162 0.5000
K 0.2394 0.7606 0.0000
Fe 0.8011 0.8011 0.8069
Fe 0.1989 0.1989 0.1931

## Properties
- SG = No. 12
- raw total energy (eV/atom) = -15.046
- E_form (uncorrected) (eV/f.u.) = -19.241

***

# 2
TcP2Pb | meta-GGA SCAN | PBEsol geometry

Cell lengths 3.1535, 3.1535, 8.1269 Å; angles 78.81, 78.81, 60.00 degrees
Sites, in units of the cell vectors:
Tc 0.2672 0.2672 0.1984
P 0.9992 0.9992 0.0026
P 0.7309 0.7309 0.8072
Pb 0.5027 0.5027 0.4919

## Properties
- SG = No. 160
- raw total energy (eV/atom) = -32.513
- formation energy (meV per atom) = 396.3

***

# 3
SrTl2Ir | meta-GGA SCAN | PBEsol geometry

Cell lengths 3.3408, 5.5652, 5.5652 Å; angles 114.44, 90.00, 90.00 degrees
Sites, in units of the cell vectors:
Tl 0.0000 0.5000 0.0000
Tl 0.0000 0.0000 0.5000
Ir 0.5000 0.0000 0.0000
Sr 0.5000 0.5000 0.5000

## Properties
- SG = No. 65
- raw total energy (eV/atom) = -59.135
- formation energy (meV per atom) = 388.1

***

# 4
SrCa2La | meta-GGA SCAN | PBEsol geometry

Cell lengths 3.7615, 5.6910, 7.6675 Å; angles 90.00, 90.00, 90.00 degrees
Sites, in units of the cell vectors:
La 0.0000 0.0000 0.4919
Ca 0.0000 0.0000 0.0058
Ca 0.5000 0.5000 0.2568
Sr 0.5000 0.5000 0.7455

## Properties
- energy above the most stable polymorph in this dataset (meV per atom) = 18
- SG = No. 25
- raw total energy (eV/atom) = -21.078
- formation energy (meV per atom) = 99.0

***

# 5
MgFeNiAg2 | meta-GGA SCAN | PBEsol geometry

Cell lengths 4.2482, 4.7387, 4.7387 Å; angles 90.00, 90.00, 90.00 degrees
Sites, in units of the cell vectors:
Fe 0.0000 0.0000 0.0000
Ag 0.0000 0.5000 0.0000
Ag 0.0000 0.0000 0.5000
Mg 0.5000 0.5000 0.5000
Ni 0.5000 0.0000 0.0000

## Properties
- SG = No. 123
- raw total energy (eV/atom) = -19.639
- formation energy (meV per atom) = 763.0

***

# 6
ScAg4 | meta-GGA SCAN | PBEsol geometry

Cell lengths 4.0440, 5.0232, 5.0232 Å; angles 80.68, 66.26, 66.26 degrees
Sites, in units of the cell vectors:
Ag 0.5995 0.5998 0.2012
Ag 0.8007 0.7988 0.5998
Ag 0.1993 0.2012 0.4002
Ag 0.4005 0.4002 0.7988
Sc 0.0000 0.0000 0.0000

## Properties
- SG = No. 87
- raw total energy (eV/atom) = -28.162
- formation energy (meV per atom) = -221.1